Computed, not measured: CrWO4 after structural relaxation at the PBE with a Hubbard U level of DFT.

Values from the calculation:
* space-group type: P2_1/c, No. 14
* volume: 11.33 Å³/atom
* excess energy over the best structure of this formula in the dataset: 0.031 eV per atom
* total magnetization: 0.6667 μB/atom

abc: 4.6605 5.6056 6.2625
angles: 123.77 90.00 90.00
Site moments in Bohr magnetons follow the coordinates.
Fractional positions:
O: 0.6908 0.6926 0.3495  -0.05
O: 0.6984 0.6990 0.8488  -0.03
O: 0.8016 0.1990 0.3488  -0.03
O: 0.3092 0.3074 0.6505  -0.05
O: 0.3016 0.3010 0.1512  -0.03
O: 0.1984 0.8010 0.6512  -0.03
O: 0.8092 0.1926 0.8495  -0.05
Cr: 0.0000 0.0000 0.5000  3.04
Cr: 0.5000 0.5000 0.0000  3.04
W: 0.5000 0.5000 0.5000  1.05
O: 0.1908 0.8074 0.1505  -0.05
W: 0.0000 0.0000 0.0000  1.05